Entry w
A relaxed SrCo2W crystal. Source: Alexandria, functional PBE.

a = 7.1025 Å, b = 7.1025 Å, c = 6.3677 Å
α = 90.00°, β = 90.00°, γ = 90.00°
Space group I-42d (No. 122)
Unique sites:
Sr 0.0000 0.0000 0.0000 [4 per cell]
Co 0.1759 0.2500 0.6250 [8 per cell]
W 0.0000 0.0000 0.5000 [4 per cell]

Entry x
A relaxed SrCo2W crystal. Source: Alexandria, functional PBE.

a = 4.1194 Å, b = 4.1194 Å, c = 16.6161 Å
α = 90.00°, β = 90.00°, γ = 120.00°
Space group R-3m (No. 166, hexagonal axes)
Unique sites:
Sr 0.0000 0.0000 0.0000 [3 per cell]
Co 0.0000 0.0000 0.1938 [6 per cell]
W 0.0000 0.0000 0.5000 [3 per cell]

Of them, entry x has the highest stability.

Entry w
A relaxed SrCo2W crystal. Source: Alexandria, functional PBE.

a = 2.7331 Å, b = 4.7310 Å, c = 10.1901 Å
α = 90.00°, β = 90.00°, γ = 90.00°
Space group Imm2 (No. 44)
Unique sites:
Sr 0.0000 0.0000 0.0000 [2 per cell]
Co 0.0000 0.0000 0.4878 [2 per cell]
Co 0.0000 0.5000 0.7816 [2 per cell]
W 0.0000 0.5000 0.2066 [2 per cell]

Entry x
A relaxed SrCo2W crystal. Source: Alexandria, functional PBE.

a = 4.1123 Å, b = 4.1123 Å, c = 17.0239 Å
α = 90.00°, β = 90.00°, γ = 120.00°
Space group R3m (No. 160, hexagonal axes)
Unique sites:
Sr 0.0000 0.0000 0.0000 [3 per cell]
Co 0.0000 0.0000 0.1898 [3 per cell]
Co 0.0000 0.0000 0.5198 [3 per cell]
W 0.0000 0.0000 0.8133 [3 per cell]

Entry y
A relaxed SrCo2W crystal. Source: Alexandria, functional PBE.

a = 2.8870 Å, b = 2.8870 Å, c = 27.9983 Å
α = 90.00°, β = 90.00°, γ = 120.00°
Space group R3m (No. 160, hexagonal axes)
Unique sites:
Sr 0.0000 0.0000 0.0000 [3 per cell]
Co 0.0000 0.0000 0.2398 [3 per cell]
Co 0.0000 0.0000 0.5102 [3 per cell]
W 0.0000 0.0000 0.7713 [3 per cell]

Of them, entry x has the highest stability.

Entry w
A relaxed SrYCo crystal. Source: Alexandria, functional PBE.

a = 3.9627 Å, b = 3.9627 Å, c = 6.7417 Å
α = 90.00°, β = 90.00°, γ = 120.00°
Space group P3m1 (No. 156)
Unique sites:
Sr 0.0000 0.0000 0.0000 [1 per cell]
Y 0.6667 0.3333 0.5261 [1 per cell]
Co 0.3333 0.6667 0.7244 [1 per cell]

Entry x
A relaxed SrYCo crystal. Source: Alexandria, functional PBE.

a = 3.5110 Å, b = 3.5110 Å, c = 13.4399 Å
α = 90.00°, β = 90.00°, γ = 90.00°
Space group I4mm (No. 107)
Unique sites:
Sr 0.0000 0.0000 0.0000 [2 per cell]
Y 0.0000 0.0000 0.2524 [2 per cell]
Co 0.0000 0.0000 0.6512 [2 per cell]

Entry y
A relaxed SrYCo crystal. Source: Alexandria, functional PBE.

a = 6.9200 Å, b = 6.9200 Å, c = 6.9200 Å
α = 90.00°, β = 90.00°, γ = 90.00°
Space group F-43m (No. 216)
Unique sites:
Sr 0.0000 0.0000 0.0000 [4 per cell]
Y 0.0000 0.0000 0.5000 [4 per cell]
Co 0.2500 0.2500 0.2500 [4 per cell]

Of them, entry x has the highest stability.

Entry w
A relaxed Sr3YCo crystal. Source: Alexandria, functional PBE.

a = 6.4050 Å, b = 6.4050 Å, c = 6.4050 Å
α = 90.00°, β = 90.00°, γ = 90.00°
Space group Pm-3m (No. 221)
Unique sites:
Sr 0.0000 0.0000 0.5000 [3 per cell]
Y 0.0000 0.0000 0.0000 [1 per cell]
Co 0.5000 0.5000 0.5000 [1 per cell]

Entry x
A relaxed Sr3YCo crystal. Source: Alexandria, functional PBE.

a = 5.7677 Å, b = 5.7677 Å, c = 5.7677 Å
α = 90.00°, β = 90.00°, γ = 90.00°
Space group Pm-3m (No. 221)
Unique sites:
Sr 0.0000 0.0000 0.5000 [3 per cell]
Y 0.5000 0.5000 0.5000 [1 per cell]
Co 0.0000 0.0000 0.0000 [1 per cell]

Of them, entry x has the highest stability.

Entry w
A relaxed SrYZn2Co crystal. Source: Alexandria, functional PBE.

a = 5.4664 Å, b = 5.4664 Å, c = 4.7763 Å
α = 90.00°, β = 90.00°, γ = 90.00°
Space group P4/mmm (No. 123)
Unique sites:
Sr 0.0000 0.0000 0.0000 [1 per cell]
Y 0.5000 0.5000 0.5000 [1 per cell]
Zn 0.0000 0.5000 0.5000 [2 per cell]
Co 0.5000 0.5000 0.0000 [1 per cell]

Entry x
A relaxed SrYZn2Co crystal. Source: Alexandria, functional PBE.

a = 4.9331 Å, b = 4.9331 Å, c = 4.7928 Å
α = 90.00°, β = 90.00°, γ = 90.00°
Space group P4/mmm (No. 123)
Unique sites:
Sr 0.0000 0.0000 0.0000 [1 per cell]
Y 0.5000 0.5000 0.0000 [1 per cell]
Zn 0.0000 0.5000 0.5000 [2 per cell]
Co 0.5000 0.5000 0.5000 [1 per cell]

Of them, entry x has the highest stability.

Entry w
A relaxed SrZr3Co crystal. Source: Alexandria, functional PBE.

a = 5.0356 Å, b = 5.0356 Å, c = 5.0356 Å
α = 90.00°, β = 90.00°, γ = 90.00°
Space group Pm-3m (No. 221)
Unique sites:
Sr 0.0000 0.0000 0.0000 [1 per cell]
Zr 0.0000 0.0000 0.5000 [3 per cell]
Co 0.5000 0.5000 0.5000 [1 per cell]

Entry x
A relaxed SrZr3Co crystal. Source: Alexandria, functional PBE.

a = 5.0317 Å, b = 5.0317 Å, c = 5.0317 Å
α = 90.00°, β = 90.00°, γ = 90.00°
Space group Pm-3m (No. 221)
Unique sites:
Sr 0.0000 0.0000 0.0000 [1 per cell]
Zr 0.0000 0.5000 0.5000 [3 per cell]
Co 0.5000 0.5000 0.5000 [1 per cell]

Of them, entry x has the highest stability.